No. 1
# PmPr6Sm8

A relaxed PmPr6Sm8 crystal (PBE, Alexandria).

The structure belongs to space group P-3 (No. 147); the cell edges are 10.0726, 10.0726 and 6.0310 Å and the angles 90.00°, 90.00° and 120.00°. The distinct sites, in fractional coordinates, are Pm at (0.0000, 0.0000, 0.0000), Pr at (0.0903, 0.4673, 0.2415), Sm at (0.0523, 0.2720, 0.7244) and Sm at (0.3333, 0.6667, 0.7231).

The calculation puts the energy of formation from the pure elements at 0.15 eV per atom. The value obtained for the distance to the lowest polymorph of the same formula is 4 meV per atom. The magnetic moment is 0.0 Bohr magnetons per cell.

***

No. 2
# Pm3Pr5Sm2

A relaxed Pm3Pr5Sm2 crystal (PBE, Alexandria).

The structure belongs to space group Ibam (No. 72); the cell edges are 9.6038, 22.4849 and 6.9354 Å and the angles 90.00°, 90.00° and 90.00°. The distinct sites, in fractional coordinates, are Pm at (0.0000, 0.0000, 0.2500), Pm at (0.2487, 0.1222, 0.0000), Pr at (0.0000, 0.2484, 0.2500), Pr at (0.0000, 0.5000, 0.2500), Pr at (0.0992, 0.3740, 0.0000) and Sm at (0.0916, 0.1231, 0.5000).

The calculation puts the energy of formation from the pure elements at 0.34 eV per atom. The value obtained for the distance to the lowest polymorph of the same formula is 173 meV per atom. The magnetic moment is 0.0 Bohr magnetons per cell.

***

No. 3
# Pm2PrSm

A relaxed Pm2PrSm crystal (PBE, Alexandria).

The structure belongs to space group R-3m (No. 166, hexagonal axes); the cell edges are 3.6603, 3.6603 and 35.8934 Å and the angles 90.00°, 90.00° and 120.00°. The distinct sites, in fractional coordinates, are Pm at (0.0000, 0.0000, 0.2491), Pr at (0.0000, 0.0000, 0.0000) and Sm at (0.0000, 0.0000, 0.5000).

The calculation puts the energy of formation from the pure elements at 0.01 eV per atom. The value obtained for the distance to the lowest polymorph of the same formula is 0 meV per atom. The magnetic moment is 0.0 Bohr magnetons per cell.

***

No. 4
# Pm4PrSm8

A relaxed Pm4PrSm8 crystal (PBE, Alexandria).

The structure belongs to space group R-3m (No. 166, hexagonal axes); the cell edges are 7.4778, 7.4778 and 27.8255 Å and the angles 90.00°, 90.00° and 120.00°. The distinct sites, in fractional coordinates, are Pm at (0.0000, 0.0000, 0.0000), Pm at (0.0000, 0.5000, 0.0000), Pr at (0.0000, 0.0000, 0.5000), Sm at (0.0000, 0.0000, 0.2178) and Sm at (0.0380, 0.5190, 0.7686).

The calculation puts the energy of formation from the pure elements at 0.17 eV per atom. The magnetic moment is 0.0 Bohr magnetons per cell.

***

No. 5
# Pm2PrSm6

A relaxed Pm2PrSm6 crystal (PBE, Alexandria).

The structure belongs to space group Cmmm (No. 65); the cell edges are 9.9660, 17.3324 and 3.5412 Å and the angles 90.00°, 90.00° and 90.00°. The distinct sites, in fractional coordinates, are Pm at (0.0000, 0.1666, 0.0000), Pr at (0.0000, 0.5000, 0.0000), Sm at (0.1663, 0.0000, 0.5000) and Sm at (0.1674, 0.3329, 0.5000).

The calculation puts the energy of formation from the pure elements at 0.06 eV per atom. The value obtained for the distance to the lowest polymorph of the same formula is 0 meV per atom. The magnetic moment is 0.0 Bohr magnetons per cell.

***

No. 6
# PmPr2Sm4

A relaxed PmPr2Sm4 crystal (PBE, Alexandria).

The structure belongs to space group R-3m (No. 166, hexagonal axes); the cell edges are 3.6569, 3.6569 and 62.5618 Å and the angles 90.00°, 90.00° and 120.00°. The distinct sites, in fractional coordinates, are Pm at (0.0000, 0.0000, 0.0000), Pr at (0.0000, 0.0000, 0.4285), Sm at (0.0000, 0.0000, 0.1432) and Sm at (0.0000, 0.0000, 0.2861).

The calculation puts the energy of formation from the pure elements at 0.01 eV per atom. The value obtained for the distance to the lowest polymorph of the same formula is 0 meV per atom. The magnetic moment is 0.0 Bohr magnetons per cell.

***

> Which formula does entry 5 have?

Pm2PrSm6

***

> Which value of energy of formation from the pure elements does entry 3 give?

0.01 eV per atom